[1]
Material: Dy5ErSc6
Method: DFT, GGA-PBE
State: optimized geometry

Properties
Energy of formation from the pure elements ... 0.0518 eV per atom
Space group ... Immm, No. 71
DOS at the Fermi energy ... 1.7552 states/eV/atom
VASP energy ... -5.41 eV per atom
Theoretical density ... 6.2 g cm⁻³

Unit cell a=4.871 b=9.327 c=9.017 alpha=121.17 beta=105.66 gamma=90.04
Sites, in units of the cell vectors:
Sc 0.833 0.583 0.667
Sc 0.833 0.083 0.667
Sc 0.500 0.750 0.000
Sc 0.500 0.250 0.000
Sc 0.167 0.917 0.333
Sc 0.167 0.417 0.333
Er 0.000 0.000 0.000
Dy 0.666 0.166 0.332
Dy 0.333 0.333 0.666
Dy 0.000 0.500 0.000
Dy 0.667 0.667 0.334
Dy 0.334 0.834 0.668


[2]
Material: YCoPb2
Method: DFT, GGA-PBE
State: optimized geometry

Properties
Energy of formation from the pure elements ... 0.2516 eV per atom
Polymorph energy (0 for the lowest one) ... 259 meV per atom
Space group ... C2/m, No. 12
DOS at the Fermi energy ... 1.0223 states/eV/atom
VASP energy ... -5.00 eV per atom
Theoretical density ... 9.3 g cm⁻³

Unit cell a=5.556 b=6.079 c=3.519 alpha=74.61 beta=86.98 gamma=116.22
Sites, in units of the cell vectors:
Co 0.500 0.500 0.000
Pb 0.000 0.000 0.000
Pb 0.500 0.000 0.500
Y 0.000 0.500 0.500


[3]
Material: LaRh2Br
Method: DFT, GGA-PBE
State: optimized geometry

Properties
Polymorph energy (0 for the lowest one) ... 333 meV per atom
Space group ... P4/mmm, No. 123
DOS at the Fermi energy ... 1.9701 states/eV/atom
Uncorrected formation energy ... -0.147 eV/atom
VASP energy ... -5.47 eV per atom
Theoretical density ... 8.6 g cm⁻³

Unit cell a=3.646 b=3.646 c=6.189 alpha=90.00 beta=90.00 gamma=90.00
Sites, in units of the cell vectors:
Rh 0.000 0.000 0.982
Rh 0.000 0.000 0.518
Br 0.500 0.500 0.250
La 0.500 0.500 0.750


[4]
Material: La8GeN4
Method: DFT, GGA-PBE
State: optimized geometry

Properties
Space group ... F-43m, No. 216
DOS at the Fermi energy ... 0.4858 states/eV/atom
Uncorrected formation energy ... -0.819 eV/atom
VASP energy ... -6.77 eV per atom
Theoretical density ... 6.0 g cm⁻³

Unit cell a=7.872 b=7.872 c=7.872 alpha=60.00 beta=60.00 gamma=60.00
Sites, in units of the cell vectors:
La 0.578 0.141 0.141
La 0.141 0.578 0.141
La 0.141 0.141 0.578
La 0.141 0.141 0.141
La 0.183 0.606 0.606
La 0.606 0.183 0.606
La 0.606 0.606 0.183
La 0.606 0.606 0.606
Ge 0.750 0.750 0.750
N 0.885 0.372 0.372
N 0.372 0.885 0.372
N 0.372 0.372 0.885
N 0.372 0.372 0.372


[5]
Material: HfMgCuIr
Method: DFT, GGA-PBE
State: optimized geometry

Properties
Energy of formation from the pure elements ... -0.4961 eV per atom
Space group ... F-43m, No. 216
DOS at the Fermi energy ... 0.6582 states/eV/atom
VASP energy ... -6.62 eV per atom
Theoretical density ... 11.7 g cm⁻³

Unit cell a=4.518 b=4.518 c=4.518 alpha=60.00 beta=60.00 gamma=60.00
Sites, in units of the cell vectors:
Mg 0.250 0.250 0.250
Ir 0.500 0.500 0.500
Hf 0.750 0.750 0.750
Cu 0.000 0.000 0.000


[6]
Material: In2SbMo
Method: DFT, GGA-PBE
State: optimized geometry

Properties
Space group ... P4/mmm, No. 123
DOS at the Fermi energy ... 0.9448 states/eV/atom
Uncorrected formation energy ... 0.559 eV/atom
VASP energy ... -4.55 eV per atom
Theoretical density ... 8.5 g cm⁻³

Unit cell a=4.863 b=4.863 c=3.712 alpha=90.00 beta=90.00 gamma=90.00
Sites, in units of the cell vectors:
In 0.000 0.000 0.000
In 0.500 0.500 0.000
Mo 0.500 0.000 0.500
Sb 0.000 0.500 0.500